## Tl2In2I (PBE-GGA)

Data for Tl2In2I after structural relaxation. Values from VASP.

```
&SYSTEM
  ibrav = 0, nat = 5, ntyp = 3
/
ATOMIC_SPECIES
Tl 204.38 Tl.upf
In 114.82 In.upf
I 126.90 I.upf
CELL_PARAMETERS angstrom
-0.3055 4.5556 0.7761
-4.1965 0.0523 -1.9585
-5.5847 0.8700 6.5138
ATOMIC_POSITIONS angstrom
Tl -6.0161 1.6131 1.9820
Tl -4.0706 3.8647 3.3493
In -2.8716 2.0370 0.7314
In -7.2151 3.4408 4.5999
I 0.0000 0.0000 0.0000
```

Total DFT energy (no corrections) ... -11.81 eV per cell
Excess energy over the best structure of this formula in the dataset ... 63.7 meV per atom
Formation energy from raw total energies ... -0.010 eV/atom

=====

## TlIn3I6 (PBE-GGA)

Data for TlIn3I6 after structural relaxation. Values from VASP.

```
&SYSTEM
  ibrav = 0, nat = 20, ntyp = 3
/
ATOMIC_SPECIES
In 114.82 In.upf
Tl 204.38 Tl.upf
I 126.90 I.upf
CELL_PARAMETERS angstrom
7.8898 0.0000 0.1260
0.0000 8.9815 0.0000
0.0193 0.0000 12.0253
ATOMIC_POSITIONS angstrom
In 4.3571 7.9721 9.2315
In 0.4025 5.5000 3.1559
In 3.5520 1.0093 2.9197
In 3.9449 4.4907 0.0630
In 7.5065 3.4814 8.9954
In 0.0096 0.0000 6.0126
Tl 0.0000 0.0000 0.0000
Tl 3.9545 4.4907 6.0756
I 6.4292 5.9157 11.3363
I 2.8311 4.8896 9.3435
I 6.7222 6.3814 6.9742
I 1.1869 2.6001 5.1770
I 1.1427 0.3989 8.7574
I 1.4798 3.0658 0.8150
I 2.4747 7.5565 5.2606
I 2.7676 7.0908 0.8986
I 5.0780 4.0918 2.8078
I 5.4344 1.4249 6.8906
I 6.7664 8.5825 3.3938
I 5.1414 1.8907 11.2527
```

Total DFT energy (no corrections) ... -49.47 eV per cell
Formation energy from raw total energies ... -0.485 eV/atom

=====

## Tl3In4I8 (PBE-GGA)

Data for Tl3In4I8 after structural relaxation. Values from VASP.

```
&SYSTEM
  ibrav = 0, nat = 15, ntyp = 3
/
ATOMIC_SPECIES
Tl 204.38 Tl.upf
In 114.82 In.upf
I 126.90 I.upf
CELL_PARAMETERS angstrom
-2.0009 -7.5346 -6.1317
4.6021 -1.7223 8.6352
-7.3880 4.5510 4.8393
ATOMIC_POSITIONS angstrom
Tl -4.6945 -1.4918 -0.6462
Tl -2.3934 -2.3530 3.6714
Tl 1.3006 -4.6284 1.2518
In 0.0000 0.0000 0.0000
In 2.3011 -0.8612 4.3176
In -1.0004 -3.7673 -3.0659
In -3.6940 2.2755 2.4197
I -3.2441 -1.9149 7.0824
I -4.6507 3.1188 5.7059
I 1.8648 -0.2901 7.7686
I -1.5427 -2.7910 0.2604
I -2.6305 -6.8736 -3.0506
I 0.6185 -3.9288 4.6249
I -5.4053 -0.7771 2.7179
I -2.1563 2.1676 10.3935
```

Total DFT energy (no corrections) ... -38.20 eV per cell
Formation energy from raw total energies ... -0.516 eV/atom

=====

## Tl3InI4 (PBE-GGA)

Data for Tl3InI4 after structural relaxation. Values from VASP.

```
&SYSTEM
  ibrav = 0, nat = 16, ntyp = 3
/
ATOMIC_SPECIES
Tl 204.38 Tl.upf
I 126.90 I.upf
In 114.82 In.upf
CELL_PARAMETERS angstrom
7.0514 0.0000 0.0000
0.0000 10.3531 0.0000
0.0000 0.0000 12.0230
ATOMIC_POSITIONS angstrom
Tl 3.9850 8.6428 0.0000
Tl 3.9749 3.4437 9.0029
Tl 0.4492 6.9094 2.9914
Tl 0.4492 6.9094 9.0316
Tl 3.9749 3.4437 3.0201
Tl 0.4593 1.7102 6.0115
I 0.4645 8.5964 6.0115
I 3.9856 1.6630 6.0115
I 0.4474 3.4405 3.0032
I 0.4474 3.4405 9.0198
I 3.9902 1.7567 0.0000
I 3.9731 6.9126 9.0147
I 3.9731 6.9126 3.0083
I 0.4600 8.6901 0.0000
In 3.9819 8.5939 6.0115
In 0.4562 1.7592 0.0000
```

Total DFT energy (no corrections) ... -41.27 eV per cell
Excess energy over the best structure of this formula in the dataset ... 37.7 meV per atom
Formation energy from raw total energies ... -0.575 eV/atom

=====

## TlIn4I5 (PBE-GGA)

Data for TlIn4I5 after structural relaxation. Values from VASP.

```
&SYSTEM
  ibrav = 0, nat = 10, ntyp = 3
/
ATOMIC_SPECIES
I 126.90 I.upf
In 114.82 In.upf
Tl 204.38 Tl.upf
CELL_PARAMETERS angstrom
-4.6145 1.7493 0.6057
-0.4474 1.2132 -6.9119
-2.0312 -12.9223 1.4402
ATOMIC_POSITIONS angstrom
I -3.2328 -1.4465 -0.0446
I -3.8603 -8.5133 -4.8213
I -0.2237 0.6066 -3.4559
I -5.0492 -6.0017 -0.7266
I -2.0439 -3.9581 -4.1393
In -3.4428 -0.8055 -3.4954
In -5.2611 -5.3655 -4.1781
In -1.8320 -4.5942 -0.6878
In -3.6503 -9.1543 -1.3705
Tl 0.0000 0.0000 0.0000
```

Total DFT energy (no corrections) ... -26.04 eV per cell
Formation energy from raw total energies ... -0.497 eV/atom

=====

## TlInI (PBE-GGA)

Data for TlInI after structural relaxation. Values from VASP.

```
&SYSTEM
  ibrav = 0, nat = 6, ntyp = 3
/
ATOMIC_SPECIES
Tl 204.38 Tl.upf
In 114.82 In.upf
I 126.90 I.upf
CELL_PARAMETERS angstrom
-2.7340 -4.8283 -0.9577
2.4370 -4.8432 1.5342
-3.9706 -1.8921 8.2589
ATOMIC_POSITIONS angstrom
Tl -0.4503 -2.4242 1.5486
Tl -2.3343 -3.3148 5.7036
In -0.5577 -5.6011 1.7406
In -0.6267 -8.9243 1.8725
I -1.8653 -9.8372 4.6748
I -3.1260 -6.4669 7.2975
```

Total DFT energy (no corrections) ... -14.97 eV per cell
Excess energy over the best structure of this formula in the dataset ... 31.7 meV per atom
Formation energy from raw total energies ... -0.277 eV/atom